[1]
Below is crystalline AgHgPd2 at its relaxed geometry, with properties calculated at the PBE level.

Calculated values
**Energy relative to the lowest polymorph listed for this composition**: 0.004 eV per atom

a = 4.708 Å, b = 6.086 Å, c = 4.777 Å
α = 90.00°, β = 90.00°, γ = 90.00°
Space group Pmmn (No. 59, origin choice 2)
Symmetry-distinct sites (fractional):
1 Ag 0.250 0.250 0.204 x2
2 Hg 0.250 0.750 0.202 x2
3 Pd 0.250 0.000 0.698 x4

=====

[2]
Below is crystalline Al2NiPb at its relaxed geometry, with properties calculated at the PBE level.

a = 6.638 Å, b = 6.638 Å, c = 6.638 Å
α = 90.00°, β = 90.00°, γ = 90.00°
Space group F-43m (No. 216)
Symmetry-distinct sites (fractional):
1 Al 0.000 0.000 0.000 x4
2 Al 0.250 0.250 0.250 x4
3 Ni 0.250 0.250 0.750 x4
4 Pb 0.000 0.000 0.500 x4

=====

[3]
Below is crystalline NdAgNO at its relaxed geometry, with properties calculated at the PBE level.

Calculated values
**Energy relative to the lowest polymorph listed for this composition**: 0.012 eV per atom

a = 6.577 Å, b = 6.294 Å, c = 5.948 Å
α = 90.00°, β = 90.00°, γ = 90.00°
Space group Pca2_1 (No. 29)
Symmetry-distinct sites (fractional):
1 Nd 0.086 0.219 0.000 x4
2 Ag 0.108 0.686 0.993 x4
3 N 0.158 0.503 0.664 x4
4 O 0.111 0.062 0.354 x4

=====

[4]
Below is crystalline PrGaTc at its relaxed geometry, with properties calculated at the PBE level.

Calculated values
**Energy relative to the lowest polymorph listed for this composition**: 0.000 eV per atom

a = 6.505 Å, b = 6.505 Å, c = 6.505 Å
α = 90.00°, β = 90.00°, γ = 90.00°
Space group F-43m (No. 216)
Symmetry-distinct sites (fractional):
1 Pr 0.000 0.000 0.000 x4
2 Ga 0.250 0.250 0.250 x4
3 Tc 0.000 0.000 0.500 x4

=====

no.,electronic total energy (eV for the cell shown)
1,-28.09
2,-62.46
3,-98.21
4,-69.33